# 1
## RbTl2AgHg (PBE-GGA)

Data for a relaxed structure of RbTl2AgHg.

Cell: 5.506 5.506 6.681 Å, 90.00 90.00 90.00°
Positions (direct):
Rb 0.000 0.000 0.000
Tl 0.000 0.500 0.500
Tl 0.500 0.000 0.500
Ag 0.000 0.000 0.500
Hg 0.500 0.500 0.000

Summary:
As for the density of states at the Fermi level: 4.76 states/eV/f.u. Its theoretical density is 6.6 g/cm3.

# 2
## NaNbHg (PBE-GGA)

Data for a relaxed structure of NaNbHg.

Cell: 2.978 5.432 8.454 Å, 107.82 93.43 91.48°
Positions (direct):
Na 0.000 0.000 0.000
Na 0.500 0.500 0.000
Nb 0.140 0.865 0.369
Nb 0.860 0.135 0.631
Hg 0.356 0.657 0.677
Hg 0.644 0.343 0.323

Summary:
As for the density of states at the Fermi level: 2.42 states/eV/f.u. Its theoretical density is 8.1 g/cm3.

The records above yield M_tot values of 0.0; 0.0 Bohr magnetons per cell, respectively.
The records above yield energy above the lowest structure with this stoichiometry values of 0.0742; 0.1921 eV/atom, respectively.
The records above yield E_form values of 122; 293 meV per atom, respectively.